Record 1
Below is an optimized crystal structure of Zn2CdIn, with properties calculated at the PBE level.

ρ in g/cm3: 7.3
Offset from the most stable computed form in meV/atom: 22
ΔE_f in meV per atom: 97

a b c (Å): 3.0603 3.9558 6.7586
angles (deg): 90.00 90.00 90.00
Closest atoms and distances in Å follow each position.
Atoms (fractional coordinates):
Cd: 0.0000 0.0000 0.4699  5 Zn 2.89-3.04, 2 Cd 3.06, 4 In 3.23
In: 0.5000 0.5000 0.7728  5 Zn 2.98-3.10, 2 In 3.06, 4 Cd 3.23
Zn: 0.0000 0.0000 0.0428  6 Zn 2.76-3.06, 1 Cd 2.89
Zn: 0.5000 0.5000 0.2145  6 Zn 2.76-3.06, 1 In 2.98, 4 Cd 3.04

=====

Record 2
Below is an optimized crystal structure of ZnCd4In2, with properties calculated at the PBE level.

ρ in g/cm3: 7.5
ΔE_f in meV per atom: 80

a b c (Å): 3.0913 3.0913 19.9441
angles (deg): 85.56 85.56 60.00
Closest atoms and distances in Å follow each position.
Atoms (fractional coordinates):
Zn: 0.0000 0.0000 0.0000  6 Cd 3.02, 6 Zn 3.09
Cd: 0.7076 0.7076 0.8773  3 Zn 3.02, 6 Cd 3.09, 1 In 3.12
Cd: 0.2924 0.2924 0.1227  3 Zn 3.02, 6 Cd 3.09, 1 In 3.12
Cd: 0.1433 0.1433 0.5701  9 Cd 3.09-3.31
Cd: 0.8567 0.8567 0.4299  9 Cd 3.09-3.31
In: 0.2400 0.2400 0.2799  6 In 3.09, 1 Cd 3.12
In: 0.7600 0.7600 0.7201  6 In 3.09, 1 Cd 3.12

=====

Record 3
Below is an optimized crystal structure of Zn2CdIn, with properties calculated at the PBE level.

ρ in g/cm3: 7.4
Offset from the most stable computed form in meV/atom: 34
ΔE_f in meV per atom: 108

a b c (Å): 5.2313 5.2313 5.2313
angles (deg): 130.83 130.83 72.08
Closest atoms and distances in Å follow each position.
Atoms (fractional coordinates):
Cd: 0.2500 0.7500 0.5000  8 Zn 3.03, 4 In 3.08
In: 0.7500 0.2500 0.5000  8 Zn 3.03, 4 Cd 3.08
Zn: 0.0000 0.0000 0.0000  4 In 3.03, 4 Cd 3.03, 4 Zn 3.08
Zn: 0.5000 0.5000 0.0000  4 Cd 3.03, 4 In 3.03, 4 Zn 3.08

=====

Record 4
Below is an optimized crystal structure of Zn2CdIn, with properties calculated at the PBE level.

ρ in g/cm3: 7.2
Offset from the most stable computed form in meV/atom: 26
ΔE_f in meV per atom: 100

a b c (Å): 8.8510 8.8510 8.8510
angles (deg): 21.60 21.60 21.60
Closest atoms and distances in Å follow each position.
Atoms (fractional coordinates):
Cd: 0.2500 0.2500 0.2500  6 Zn 2.85
In: 0.7500 0.7500 0.7500  6 Zn 2.93
Zn: 0.9980 0.9980 0.9980  3 Cd 2.85, 3 In 2.93
Zn: 0.5020 0.5020 0.5020  3 Cd 2.85, 3 In 2.93

=====

Record 5
Below is an optimized crystal structure of ZnCdIn, with properties calculated at the PBE level.

ρ in g/cm3: 7.3
ΔE_f in meV per atom: 62

a b c (Å): 3.1091 9.8796 9.1391
angles (deg): 113.13 133.27 101.68
Closest atoms and distances in Å follow each position.
Atoms (fractional coordinates):
Zn: 0.9647 0.9650 0.6164  2 Zn 2.61-2.63, 2 Cd 2.81-2.84
Zn: 0.0353 0.0350 0.3836  2 Zn 2.61-2.63, 2 Cd 2.81-2.84
Cd: 0.5472 0.7751 0.7135  3 Zn 2.81-3.08, 2 Cd 3.11
Cd: 0.4528 0.2249 0.2865  3 Zn 2.81-3.08, 2 Cd 3.11
In: 0.4035 0.6193 0.9326  3 Zn 3.03-3.17, 3 In 3.05-3.11, 3 Cd 3.15-3.20
In: 0.5965 0.3807 0.0674  3 Zn 3.03-3.17, 3 In 3.05-3.11, 3 Cd 3.15-3.20

=====

Record 6
Below is an optimized crystal structure of ZnCd2In, with properties calculated at the PBE level.

ρ in g/cm3: 7.7
Offset from the most stable computed form in meV/atom: 26
ΔE_f in meV per atom: 80

a b c (Å): 5.4795 5.4795 5.4795
angles (deg): 132.48 132.48 69.47
Closest atoms and distances in Å follow each position.
Atoms (fractional coordinates):
Zn: 0.7500 0.2500 0.5000  4 In 3.12, 8 Cd 3.15
Cd: 0.0000 0.0000 0.0000  4 Cd 3.12, 4 In 3.15, 4 Zn 3.15
Cd: 0.5000 0.5000 0.0000  4 Cd 3.12, 4 Zn 3.15, 4 In 3.15
In: 0.2500 0.7500 0.5000  4 Zn 3.12, 8 Cd 3.15

=====

Record 7
Below is an optimized crystal structure of Zn2CdIn, with properties calculated at the PBE level.

ρ in g/cm3: 7.3
Offset from the most stable computed form in meV/atom: 3
ΔE_f in meV per atom: 77

a b c (Å): 9.0689 9.0689 9.0689
angles (deg): 20.73 20.73 20.73
Closest atoms and distances in Å follow each position.
Atoms (fractional coordinates):
Zn: 0.9907 0.9907 0.9907  3 Zn 2.62
Zn: 0.2557 0.2557 0.2557  3 Zn 2.62, 3 Cd 2.86
Cd: 0.5084 0.5084 0.5084  3 Zn 2.86, 3 In 3.19
In: 0.7452 0.7452 0.7452  3 Zn 3.00, 3 Cd 3.19, 6 In 3.26

=====

Record 8
Below is an optimized crystal structure of ZnCdIn, with properties calculated at the PBE level.

ρ in g/cm3: 7.5
ΔE_f in meV per atom: 92

a b c (Å): 6.8956 6.8956 6.8956
angles (deg): 153.51 153.51 37.81
Closest atoms and distances in Å follow each position.
Atoms (fractional coordinates):
Zn: 0.6621 0.6621 0.0000  4 Cd 2.95, 4 In 3.07, 4 Zn 3.16
Cd: 0.0142 0.0142 0.0000  4 Zn 2.95, 4 Cd 3.16
In: 0.3237 0.3237 0.0000  4 Zn 3.07, 4 In 3.16, 4 Cd 3.34

=====

Record 9
Below is an optimized crystal structure of ZnCd2In, with properties calculated at the PBE level.

ρ in g/cm3: 7.5
Offset from the most stable computed form in meV/atom: 0
ΔE_f in meV per atom: 54

a b c (Å): 9.4107 9.4107 9.4107
angles (deg): 20.47 20.47 20.47
Closest atoms and distances in Å follow each position.
Atoms (fractional coordinates):
Zn: 0.7500 0.7500 0.7500  6 Cd 2.82
Cd: 0.0089 0.0089 0.0089  3 Zn 2.82
Cd: 0.4911 0.4911 0.4911  3 Zn 2.82
In: 0.2500 0.2500 0.2500  6 Cd 3.20, 6 In 3.34

=====

Record 10
Below is an optimized crystal structure of ZnCdIn, with properties calculated at the PBE level.

ρ in g/cm3: 6.9
ΔE_f in meV per atom: 48

a b c (Å): 4.6274 4.6274 4.6274
angles (deg): 60.00 60.00 60.00
Closest atoms and distances in Å follow each position.
Atoms (fractional coordinates):
Zn: 0.7500 0.7500 0.7500  4 Cd 2.83, 4 In 2.83
Cd: 0.0000 0.0000 0.0000  4 Zn 2.83
In: 0.5000 0.5000 0.5000  4 Zn 2.83

=====

Record 11
Below is an optimized crystal structure of Zn2CdIn, with properties calculated at the PBE level.

ρ in g/cm3: 7.4
Offset from the most stable computed form in meV/atom: 33
ΔE_f in meV per atom: 108

a b c (Å): 5.3178 5.3178 5.3178
angles (deg): 132.50 132.50 69.44
Closest atoms and distances in Å follow each position.
Atoms (fractional coordinates):
Cd: 0.5000 0.5000 0.0000  8 Zn 3.03-3.06, 4 In 3.06
In: 0.7500 0.2500 0.5000  8 Zn 3.03-3.06, 4 Cd 3.06
Zn: 0.0000 0.0000 0.0000  4 Cd 3.03, 4 Zn 3.06, 4 In 3.06
Zn: 0.2500 0.7500 0.5000  4 In 3.03, 4 Cd 3.06, 4 Zn 3.06

=====

Record 12
Below is an optimized crystal structure of ZnCdIn3, with properties calculated at the PBE level.

ρ in g/cm3: 5.1
Offset from the most stable computed form in meV/atom: 224
ΔE_f in meV per atom: 472

a b c (Å): 5.5505 5.5505 5.5505
angles (deg): 90.00 90.00 90.00
Closest atoms and distances in Å follow each position.
Atoms (fractional coordinates):
Zn: 0.5000 0.5000 0.5000  12 In 3.92
Cd: 0.0000 0.0000 0.0000  6 In 2.78
In: 0.0000 0.5000 0.0000  2 Cd 2.78
In: 0.0000 0.0000 0.5000  2 Cd 2.78
In: 0.5000 0.0000 0.0000  2 Cd 2.78

=====

Question: Number 12 is which compound?
Answer: ZnCdIn3

=====

Question: Look up the ρ of the sixth one.
Answer: 7.7 g/cm3

=====

Question: Look up the ρ of the sixth one.
Answer: 7.7 g/cm3

=====

Question: What is the formula in the fourth record?
Answer: Zn2CdIn